# UMnTlS4

Crystalline UMnTlS4 at its relaxed geometry (PBE, Alexandria).

```
UMnTlS4
1.0
6.482 0.000 0.000
0.000 6.295 0.000
-2.877 0.000 8.431
U Mn Tl S
2 2 2 8
Cartesian
1.348 1.574 0.441
2.256 4.721 7.990
-0.927 4.721 6.982
4.531 1.574 1.449
0.176 1.574 4.736
3.428 4.721 3.696
-0.432 3.223 1.695
-0.432 6.219 1.695
0.923 4.721 5.678
2.672 4.721 0.689
0.932 1.574 7.743
2.682 1.574 2.753
4.036 0.076 6.737
4.036 3.071 6.737
```

Results
Symmetry ... No. 11
ΔE_f (raw) ... -84 kJ per mole of atoms
Theoretical density ... 6.040 g/cm3
D(E_F) ... 0.8174 states/eV per atom
E_tot ... -6.489 eV/atom

# UMn4TlS8

Crystalline UMn4TlS8 at its relaxed geometry (PBE, Alexandria).

```
UMn4TlS8
1.0
3.762 2.172 6.297
-3.762 2.172 6.297
0.000 -4.345 6.297
U Mn Tl S
1 4 1 8
Cartesian
0.000 0.000 0.000
-1.870 -1.080 15.731
0.000 0.000 11.977
1.870 -1.080 15.731
0.000 2.160 15.731
0.000 0.000 6.858
0.000 0.000 4.262
-1.933 -1.116 10.995
0.000 -2.365 8.085
-2.048 1.183 8.085
1.933 -1.116 10.995
0.000 2.232 10.995
0.000 0.000 14.439
2.048 1.183 8.085
```

Results
Symmetry ... No. 160
ΔE_f (raw) ... -62 kJ per mole of atoms
Theoretical density ... 4.940 g/cm3
D(E_F) ... 0.7039 states/eV per atom
E_tot ... -6.592 eV/atom

Number 2 is which compound?
UMn4TlS8

Look up the D(E_F) of the first one.
0.8174 states/eV per atom

The highest D(E_F) belongs to which entry?
UMnTlS4

Look up the E_tot of the first one.
-6.489 eV/atom